[1]
First-principles (PBEsol) data for a geometry-optimized K2BaSr structure, as listed in the Alexandria database.

Calculated values
DOS at the Fermi energy: 4.306 states/eV/f.u.
total magnetic moment: 0.00 μB/f.u.
total DFT energy (no corrections): -1.511 eV per atom
space group: R3m, No. 160
V: 738.7 Å³/cell
ΔH_f (0 K): 52.7 meV per atom

Unit cell a=4.3639 b=4.3639 c=44.7916 alpha=90.00 beta=90.00 gamma=120.00
Atoms (fractional coordinates):
K: 0.0000 0.0000 0.0000
K: 0.0000 0.0000 0.2448
K: 0.3333 0.6667 0.6667
K: 0.3333 0.6667 0.9114
K: 0.6667 0.3333 0.3333
K: 0.6667 0.3333 0.5781
Ba: 0.0000 0.0000 0.4933
Ba: 0.3333 0.6667 0.1600
Ba: 0.6667 0.3333 0.8267
Sr: 0.0000 0.0000 0.7497
Sr: 0.3333 0.6667 0.4163
Sr: 0.6667 0.3333 0.0830

***

[2]
First-principles (PBEsol) data for a geometry-optimized Cd2AsP structure, as listed in the Alexandria database.

Calculated values
DOS at the Fermi energy: 1.876 states/eV/f.u.
total magnetic moment: 0.00 μB/f.u.
energy above the lowest structure with this stoichiometry: 0.0549 eV per atom
total DFT energy (no corrections): -2.986 eV per atom
space group: I-4m2, No. 119
V: 155.7 Å³/cell
ΔH_f (0 K): 337.1 meV per atom

Unit cell a=4.0081 b=4.0081 c=9.6903 alpha=90.00 beta=90.00 gamma=90.00
Atoms (fractional coordinates):
Cd: 0.0000 0.0000 0.0000
Cd: 0.0000 0.5000 0.2500
Cd: 0.5000 0.0000 0.7500
Cd: 0.5000 0.5000 0.5000
As: 0.0000 0.5000 0.7500
As: 0.5000 0.0000 0.2500
P: 0.0000 0.0000 0.5000
P: 0.5000 0.5000 0.0000

***

[3]
First-principles (PBEsol) data for a geometry-optimized BaLa2S4 structure, as listed in the Alexandria database.

Calculated values
DOS at the Fermi energy: 0.000 states/eV/f.u.
total magnetic moment: 0.00 μB/f.u.
total DFT energy (no corrections): -6.541 eV per atom
space group: I-42d, No. 122
V: 343.2 Å³/cell
formation energy without anion corrections: -2201 meV per atom

Unit cell a=7.6392 b=7.6392 c=7.6392 alpha=109.35 beta=109.35 gamma=109.71
Atoms (fractional coordinates):
Ba: 0.0000 0.0000 0.0000
Ba: 0.7500 0.2500 0.5000
La: 0.2478 0.6250 0.1228
La: 0.3750 0.4978 0.6228
La: 0.5022 0.1250 0.8772
La: 0.8750 0.7522 0.3772
S: 0.1406 0.7280 0.7463
S: 0.1443 0.2317 0.7537
S: 0.2720 0.0183 0.4126
S: 0.4780 0.3906 0.2463
S: 0.6057 0.8594 0.5874
S: 0.6094 0.8557 0.0874
S: 0.7683 0.5220 0.9126
S: 0.9817 0.3943 0.2537

***

Repeat the first record exactly.
First-principles (PBEsol) data for a geometry-optimized K2BaSr structure, as listed in the Alexandria database.

Calculated values
DOS at the Fermi energy: 4.306 states/eV/f.u.
total magnetic moment: 0.00 μB/f.u.
total DFT energy (no corrections): -1.511 eV per atom
space group: R3m, No. 160
V: 738.7 Å³/cell
ΔH_f (0 K): 52.7 meV per atom

Unit cell a=4.3639 b=4.3639 c=44.7916 alpha=90.00 beta=90.00 gamma=120.00
Atoms (fractional coordinates):
K: 0.0000 0.0000 0.0000
K: 0.0000 0.0000 0.2448
K: 0.3333 0.6667 0.6667
K: 0.3333 0.6667 0.9114
K: 0.6667 0.3333 0.3333
K: 0.6667 0.3333 0.5781
Ba: 0.0000 0.0000 0.4933
Ba: 0.3333 0.6667 0.1600
Ba: 0.6667 0.3333 0.8267
Sr: 0.0000 0.0000 0.7497
Sr: 0.3333 0.6667 0.4163
Sr: 0.6667 0.3333 0.0830